1.
DFT (GGA-PBE) results for a relaxed GdHo2Al crystal.

Its distance to the lowest polymorph of the same formula is 0.141 eV/atom. As for the formation energy: -0.20 eV/f.u.

The space group is Fm-3m (No. 225) and the conventional cell measures 7.5385, 7.5385 and 7.5385 Å, with angles of 90.00, 90.00 and 90.00 degrees. The inequivalent atoms are Gd at (0.0000, 0.0000, 0.0000), Ho at (0.2500, 0.2500, 0.2500) and Al at (0.0000, 0.0000, 0.5000).

---

2.
DFT (GGA-PBE) results for a relaxed SrUTl2F8 crystal.

The calculated total energy is -5.821 eV/atom.

The space group is Pmmm (No. 47) and the conventional cell measures 4.0890, 6.6856 and 8.2425 Å, with angles of 90.00, 90.00 and 90.00 degrees. The inequivalent atoms are Sr at (0.0000, 0.0000, 0.0000), U at (0.0000, 0.0000, 0.5000), Tl at (0.5000, 0.5000, 0.2380), F at (0.0000, 0.1984, 0.2813), F at (0.5000, 0.1835, 0.5000) and F at (0.5000, 0.2186, 0.0000).

---

3.
DFT (GGA-PBE) results for a relaxed Cr3HPd crystal.

Its distance to the lowest polymorph of the same formula is 0.000 eV/atom.

The space group is Pm-3m (No. 221) and the conventional cell measures 3.7347, 3.7347 and 3.7347 Å, with angles of 90.00, 90.00 and 90.00 degrees. The inequivalent atoms are Cr at (0.0000, 0.0000, 0.5000), H at (0.0000, 0.0000, 0.0000) and Pd at (0.5000, 0.5000, 0.5000).

---

4.
DFT (GGA-PBE) results for a relaxed Tl2CoP crystal.

Its distance to the lowest polymorph of the same formula is 0.656 eV/atom. As for the formation energy: 2.86 eV/f.u.

The space group is Pmmm (No. 47) and the conventional cell measures 3.8320, 4.0359 and 5.4346 Å, with angles of 90.00, 90.00 and 90.00 degrees. The inequivalent atoms are Tl at (0.0000, 0.0000, 0.0000), Tl at (0.0000, 0.5000, 0.5000), Co at (0.5000, 0.0000, 0.5000) and P at (0.5000, 0.5000, 0.0000).

---

5.
DFT (GGA-PBE) results for a relaxed CdSiPt2 crystal.

The calculated total energy is -4.791 eV/atom.

The space group is P4/mmm (No. 123) and the conventional cell measures 4.3950, 4.3950 and 3.3398 Å, with angles of 90.00, 90.00 and 90.00 degrees. The inequivalent atoms are Cd at (0.0000, 0.0000, 0.0000), Si at (0.5000, 0.5000, 0.0000) and Pt at (0.0000, 0.5000, 0.5000).

---

6.
DFT (GGA-PBE) results for a relaxed Li2SiSb crystal.

Its distance to the lowest polymorph of the same formula is 0.132 eV/atom.

The space group is I-42d (No. 122) and the conventional cell measures 4.0954, 4.0954 and 18.5310 Å, with angles of 90.00, 90.00 and 90.00 degrees. The inequivalent atoms are Li at (0.2265, 0.2500, 0.1250), Si at (0.0000, 0.0000, 0.0000) and Sb at (0.0000, 0.0000, 0.5000).

---

7.
DFT (GGA-PBE) results for a relaxed FeTcP2 crystal.

Its distance to the lowest polymorph of the same formula is 0.230 eV/atom. As for the formation energy: -0.71 eV/f.u.

The space group is R-3m (No. 166, hexagonal axes) and the conventional cell measures 2.8651, 2.8651 and 21.0604 Å, with angles of 90.00, 90.00 and 120.00 degrees. The inequivalent atoms are Fe at (0.0000, 0.0000, 0.0000), Tc at (0.0000, 0.0000, 0.5000) and P at (0.0000, 0.0000, 0.2541).

---

8.
DFT (GGA-PBE) results for a relaxed MgBe3P crystal.

Its distance to the lowest polymorph of the same formula is 1.094 eV/atom. As for the formation energy: 8.62 eV/f.u.

The space group is Pm-3m (No. 221) and the conventional cell measures 4.4100, 4.4100 and 4.4100 Å, with angles of 90.00, 90.00 and 90.00 degrees. The inequivalent atoms are Mg at (0.0000, 0.0000, 0.0000), Be at (0.0000, 0.0000, 0.5000) and P at (0.5000, 0.5000, 0.5000).